(1)
This record from Alexandria via LeMat-Bulk describes an optimized crystal structure of BaRe2P. The functional is GGA-PBE.

Values from the calculation:
For the total energy, the calculation gives -52.8 eV/cell. Its energy of formation is 1.455 eV per atom.

Geometry as CIF:
```
data_BaRe2P
_chemical_formula_sum 'Ba2 Re4 P2'
_cell_length_a 3.915
_cell_length_b 3.915
_cell_length_c 11.045
_cell_angle_alpha 90.00
_cell_angle_beta 90.00
_cell_angle_gamma 90.00
_space_group_name_H-M_alt 'I 4/m m m'
_space_group_IT_number 139
_space_group_name_Hall '-I 4 2'
loop_
_atom_site_label
_atom_site_fract_x
_atom_site_fract_y
_atom_site_fract_z
Ba1 0.000 0.000 0.000
Re1 0.000 0.500 0.250
P1 0.000 0.000 0.500
```

(2)
This record from Alexandria via LeMat-Bulk describes an optimized crystal structure of VFePb3. The functional is GGA-PBE.

Values from the calculation:
For the total energy, the calculation gives -24.1 eV/cell. Its energy of formation is 0.922 eV per atom.

Geometry as CIF:
```
data_VFePb3
_chemical_formula_sum 'V1 Fe1 Pb3'
_cell_length_a 5.279
_cell_length_b 5.279
_cell_length_c 5.279
_cell_angle_alpha 90.00
_cell_angle_beta 90.00
_cell_angle_gamma 90.00
_space_group_name_H-M_alt 'P m -3 m'
_space_group_IT_number 221
_space_group_name_Hall '-P 4 2 3'
loop_
_atom_site_label
_atom_site_fract_x
_atom_site_fract_y
_atom_site_fract_z
V1 0.000 0.000 0.000
Fe1 0.500 0.500 0.500
Pb1 0.000 0.000 0.500
```

(3)
This record from Alexandria via LeMat-Bulk describes an optimized crystal structure of TbPr3Ho8. The functional is GGA-PBE.

Values from the calculation:
For the total energy, the calculation gives -104.3 eV/cell. Its energy of formation is 0.286 eV per atom.

Geometry as CIF:
```
data_TbPr3Ho8
_chemical_formula_sum 'Tb2 Pr6 Ho16'
_cell_length_a 6.444
_cell_length_b 11.348
_cell_length_c 11.458
_cell_angle_alpha 90.00
_cell_angle_beta 90.00
_cell_angle_gamma 90.00
_space_group_name_H-M_alt 'I m m m'
_space_group_IT_number 71
_space_group_name_Hall '-I 2 2'
loop_
_atom_site_label
_atom_site_fract_x
_atom_site_fract_y
_atom_site_fract_z
Tb1 0.000 0.000 0.000
Pr1 0.000 0.000 0.500
Pr2 0.000 0.500 0.253
Ho1 0.000 0.170 0.249
Ho2 0.248 0.255 0.500
```

(4)
This record from Alexandria via LeMat-Bulk describes an optimized crystal structure of SrNiBAu2. The functional is GGA-PBE.

Values from the calculation:
For the total energy, the calculation gives -21.3 eV/cell. Its energy of formation is -0.129 eV per atom.

Geometry as CIF:
```
data_SrNiBAu2
_chemical_formula_sum 'Sr1 Ni1 B1 Au2'
_cell_length_a 4.566
_cell_length_b 4.566
_cell_length_c 4.236
_cell_angle_alpha 90.00
_cell_angle_beta 90.00
_cell_angle_gamma 90.00
_space_group_name_H-M_alt 'P 4/m m m'
_space_group_IT_number 123
_space_group_name_Hall '-P 4 2'
loop_
_atom_site_label
_atom_site_fract_x
_atom_site_fract_y
_atom_site_fract_z
Sr1 0.000 0.000 0.000
Ni1 0.500 0.500 0.000
B1 0.500 0.500 0.500
Au1 0.000 0.500 0.500
```

Q: The highest total energy belongs to which entry?
A: SrNiBAu2